VASP calculation (PBE-GGA) on an optimized crystal structure of NbInAg3.

Structure (POSCAR):
```
NbInAg3
1.0
5.0698 0.0000 0.0000
0.0000 5.0698 0.0000
0.0000 0.0000 5.0698
Nb Ag In
1 3 1
Direct
0.5000 0.5000 0.5000
0.0000 0.0000 0.5000
0.5000 0.0000 0.0000
0.0000 0.5000 0.0000
0.0000 0.0000 0.0000
```

- space group = Pm-3m, No. 221
- calculated formation energy (eV/atom) = 1.176
- N(E_F) (states/eV/f.u.) = 5.26
- energy above the lowest structure with this stoichiometry (eV per atom) = 0.0000
- final energy (Ry per atom) = -0.2276

VASP calculation (PBE-GGA) on an optimized crystal structure of CaLaY2Tl4.

Structure (POSCAR):
```
CaLaY2Tl4
1.0
-2.3608 -1.1565 -4.7781
2.5650 -3.1840 -3.6090
-3.8001 -8.7264 0.8775
La Tl Ca Y
1 4 1 2
Direct
0.0000 0.0000 0.0000
0.3759 0.3759 0.8723
0.8740 0.8740 0.3781
0.6241 0.6241 0.1277
0.1260 0.1260 0.6219
0.5000 0.5000 0.5000
0.7528 0.7528 0.7415
0.2472 0.2472 0.2585
```

- space group = R-3m, No. 166
- calculated formation energy (eV/atom) = -0.395
- N(E_F) (states/eV/f.u.) = 5.36
- final energy (Ry per atom) = -0.2984

VASP calculation (PBE-GGA) on an optimized crystal structure of PuBeCuAs2.

Structure (POSCAR):
```
PuBeCuAs2
1.0
-2.0535 -2.0609 4.2155
0.5857 -4.9140 -2.1171
5.6331 2.0131 3.7282
As Pu Cu Be
4 2 2 2
Direct
0.2453 0.1311 0.2623
0.7547 0.6311 0.2623
0.7547 0.8689 0.7377
0.2453 0.3689 0.7377
0.2656 0.7500 0.5000
0.7344 0.2500 0.5000
0.5000 0.7500 0.0000
0.5000 0.2500 0.0000
0.0000 0.0000 0.0000
0.0000 0.5000 0.0000
```

- space group = Cmme, No. 67
- calculated formation energy (eV/atom) = -0.274
- N(E_F) (states/eV/f.u.) = 7.94
- final energy (Ry per atom) = -0.4825

VASP calculation (PBE-GGA) on an optimized crystal structure of FeAgHg2Sb.

Structure (POSCAR):
```
FeAgHg2Sb
1.0
5.1180 0.0000 0.0000
0.0000 4.7285 0.0000
0.0000 0.0000 5.1180
Ag Sb Hg Fe
1 1 2 1
Direct
0.5000 0.5000 0.5000
0.0000 0.5000 0.0000
0.0000 0.0000 0.5000
0.5000 0.0000 0.0000
0.0000 0.0000 0.0000
```

- uncorrected formation energy (kcal/mol of atoms) = 10.2
- space group = P4/mmm, No. 123
- N(E_F) (states/eV/f.u.) = 3.02
- final energy (Ry per atom) = -0.2034

VASP calculation (PBE-GGA) on an optimized crystal structure of Zr3AgC.

Structure (POSCAR):
```
Zr3AgC
1.0
-0.6612 0.5096 -3.2770
-4.5872 -3.6619 2.1010
-4.9366 7.4172 2.1495
Ag Zr C
2 6 2
Direct
0.7475 0.4950 0.7500
0.2525 0.5050 0.2500
0.3766 0.7531 0.9497
0.6234 0.2469 0.0503
0.6234 0.2469 0.4497
0.3766 0.7531 0.5503
0.9529 0.9058 0.2500
0.0471 0.0942 0.7500
0.0000 0.0000 0.5000
0.0000 0.0000 0.0000
```

- space group = Cmcm, No. 63
- calculated formation energy (eV/atom) = -0.402
- N(E_F) (states/eV/f.u.) = 3.62
- energy above the lowest structure with this stoichiometry (eV per atom) = 0.0000
- final energy (Ry per atom) = -0.5840

VASP calculation (PBE-GGA) on an optimized crystal structure of NaIr.

Structure (POSCAR):
```
NaIr
1.0
-7.8994 1.2240 -6.5352
-0.0818 -10.1657 -1.8052
-2.7461 -0.5491 3.2165
Na Ir
8 8
Direct
0.5000 0.7823 0.0000
0.5000 0.2177 0.0000
0.2823 0.0000 0.5000
0.7823 0.5000 0.0000
0.0000 0.7177 0.5000
0.2177 0.5000 0.0000
0.0000 0.2823 0.5000
0.7177 0.0000 0.5000
0.2837 0.2837 0.5000
0.7837 0.2163 0.0000
0.7163 0.2837 0.5000
0.7837 0.7837 0.0000
0.2163 0.7837 0.0000
0.2837 0.7163 0.5000
0.7163 0.7163 0.5000
0.2163 0.2163 0.0000
```

- space group = I4/mmm, No. 139
- calculated formation energy (eV/atom) = 0.652
- N(E_F) (states/eV/f.u.) = 1.64
- final energy (Ry per atom) = -0.3262

VASP calculation (PBE-GGA) on an optimized crystal structure of CaTcAs2.

Structure (POSCAR):
```
CaTcAs2
1.0
-1.7597 -1.3171 2.5576
2.6809 -1.8383 0.8978
2.1166 5.0740 4.0691
As Ca Tc
2 1 1
Direct
0.5000 0.5000 0.2148
0.0000 0.0000 0.9592
0.0000 0.0000 0.4946
0.5000 0.5000 0.8314
```

- space group = P4mm, No. 99
- calculated formation energy (eV/atom) = -0.165
- N(E_F) (states/eV/f.u.) = 2.99
- energy above the lowest structure with this stoichiometry (eV per atom) = 0.2854
- final energy (Ry per atom) = -0.4102